Material: Y2Ho4ErMg
Method: DFT, PBE
State: optimized geometry

Lattice parameters (Å, degrees): 4.9293 4.9404 11.1422 63.65 90.00 90.00
Closest atoms and distances in Å follow each position.
Fractional coordinates of all 8 atoms:
Ho (0.5000, 0.2496, 0.7509)  4 Ho 3.49, 4 Y 3.50-3.52, 2 Mg 3.50-3.51, 2 Er 3.51
Ho (0.0000, 0.7494, 0.7508)  4 Ho 3.49, 2 Mg 3.50, 4 Y 3.51, 2 Er 3.52
Ho (0.5000, 0.7504, 0.2491)  4 Ho 3.49, 4 Y 3.50-3.52, 2 Mg 3.50-3.51, 2 Er 3.51
Ho (0.0000, 0.2506, 0.2492)  4 Ho 3.49, 2 Mg 3.50, 4 Y 3.51, 2 Er 3.52
Y (0.5000, 0.0000, 0.5000)  4 Er 3.49, 8 Ho 3.51-3.52
Y (0.0000, 0.0000, 0.0000)  4 Mg 3.49, 8 Ho 3.50-3.51
Mg (0.5000, 0.5000, 0.0000)  4 Y 3.49, 8 Ho 3.50-3.51
Er (0.0000, 0.5000, 0.5000)  4 Y 3.49, 8 Ho 3.51-3.52

Output
E (eV/f.u.): -37.2
Density (Mg/m³): 7.0
ΔH_f (0 K) (eV/atom): 0.0258